NbH3Cl GGA-PBE relaxed; polymorph energy (0 for the lowest one) = 1.112 eV per atom; DOS(E_F) = 0.79 states/eV per atom
1.0
-0.7863 -0.0368 3.4792
3.2047 -1.3969 0.7095
1.3552 3.2821 0.3409
H Nb Cl
3 1 1
Direct
0.5000 0.0000 0.0000
0.0000 0.5000 0.0000
0.0000 0.0000 0.5000
0.5000 0.5000 0.5000
0.0000 0.0000 0.0000

=====

NbH2Cl4 GGA-PBE relaxed; polymorph energy (0 for the lowest one) = 0.000 eV per atom; DOS(E_F) = 0.25 states/eV per atom
1.0
-2.1378 2.5645 -0.5667
-4.7818 -4.3727 -1.7486
-0.0492 1.8717 8.6548
Cl H Nb
4 2 1
Direct
0.5000 0.3582 0.1434
0.0000 0.1771 0.7796
0.5000 0.7848 0.8567
0.0000 0.9658 0.2206
0.5000 0.8138 0.4890
0.5000 0.3291 0.5111
0.0000 0.0715 0.0001